# 1
{
  "formula": "MnSi3",
  "functional": "PBE",
  "state": "relaxed",
  "lattice": [[-2.231, 1.654, 1.577], [-0.314, -2.404, 2.078], [3.476, 1.991, 2.829]],
  "species": ["Mn", "Si", "Si", "Si"],
  "fractional_positions": [[0.000, 0.000, 0.000], [0.500, 0.500, 0.246], [0.000, 0.000, 0.500], [0.500, 0.500, 0.754]],
  "sg": "P4/mmm, No. 123",
  "dos_at_fermi_per_ev_cell": 2.2,
  "final_energy_ev_per_atom": -6.2548,
  "density_g_cm3": 4.6
}



# 2
{
  "formula": "Mn5Si3",
  "functional": "PBE",
  "state": "relaxed",
  "lattice": [[4.584, 0.000, -1.621], [-2.292, 3.970, -1.621], [0.000, 0.000, 4.862]],
  "species": ["Mn", "Mn", "Mn", "Mn", "Mn", "Si", "Si", "Si"],
  "fractional_positions": [[0.000, 0.000, 0.000], [0.500, 0.000, 0.000], [0.500, 0.500, 0.500], [0.000, 0.500, 0.000], [0.000, 0.000, 0.500], [0.000, 0.500, 0.500], [0.500, 0.000, 0.500], [0.500, 0.500, 0.000]],
  "sg": "Im-3m, No. 229",
  "dos_at_fermi_per_ev_cell": 10.1,
  "final_energy_ev_per_atom": -8.0883,
  "density_g_cm3": 6.7,
  "polymorph_energy_mev_per_atom": 18
}



# 3
{
  "formula": "MnSi3",
  "functional": "PBE",
  "state": "relaxed",
  "lattice": [[4.313, 0.000, -0.003], [3.357, 2.708, -0.003], [0.362, 0.128, 4.208]],
  "species": ["Mn", "Si", "Si", "Si"],
  "fractional_positions": [[0.000, 0.000, 0.000], [0.500, 0.500, 0.500], [0.739, 0.739, 0.768], [0.261, 0.261, 0.232]],
  "sg": "C2/m, No. 12",
  "dos_at_fermi_per_ev_cell": 1.4,
  "final_energy_ev_per_atom": -6.3310,
  "density_g_cm3": 4.7
}



# 4
{
  "formula": "MnSi3",
  "functional": "PBE",
  "state": "relaxed",
  "lattice": [[-7.844, 3.727, 4.437], [-8.906, 3.967, -0.234], [7.398, -6.034, -1.992]],
  "species": ["Mn", "Mn", "Si", "Si", "Si", "Si", "Si", "Si"],
  "fractional_positions": [[0.661, 0.661, 0.000], [0.339, 0.339, 0.000], [0.000, 0.500, 0.500], [0.500, 0.000, 0.500], [0.750, 0.250, 0.500], [0.250, 0.750, 0.500], [0.886, 0.886, 0.000], [0.114, 0.114, 0.000]],
  "sg": "I4/mmm, No. 139",
  "dos_at_fermi_per_ev_cell": 2.9,
  "final_energy_ev_per_atom": -6.2457,
  "density_g_cm3": 4.3
}



# 5
{
  "formula": "MnSi3",
  "functional": "PBE",
  "state": "relaxed",
  "lattice": [[7.383, -0.051, -0.030], [6.837, 2.787, -0.030], [6.837, 1.315, 2.457]],
  "species": ["Mn", "Si", "Si", "Si"],
  "fractional_positions": [[0.000, 0.000, 0.000], [0.744, 0.744, 0.744], [0.500, 0.500, 0.500], [0.256, 0.256, 0.256]],
  "sg": "R-3m, No. 166",
  "dos_at_fermi_per_ev_cell": 2.3,
  "final_energy_ev_per_atom": -6.2516,
  "density_g_cm3": 4.4
}



# 6
{
  "formula": "MnSi3",
  "functional": "PBE",
  "state": "relaxed",
  "lattice": [[-0.433, -2.798, -0.172], [0.537, 1.200, 2.513], [-7.393, 1.079, 1.066]],
  "species": ["Mn", "Si", "Si", "Si"],
  "fractional_positions": [[0.000, 0.000, 0.000], [0.000, 0.000, 0.500], [0.667, 0.333, 0.223], [0.667, 0.333, 0.777]],
  "sg": "P-6m2, No. 187",
  "dos_at_fermi_per_ev_cell": 2.7,
  "final_energy_ev_per_atom": -6.2045,
  "density_g_cm3": 4.4
}



# 7
{
  "formula": "MnSi23",
  "functional": "PBE",
  "state": "relaxed",
  "lattice": [[10.217, 0.000, 0.000], [0.000, 10.217, 0.000], [0.000, 0.000, 10.217]],
  "species": ["Mn", "Mn", "Si", "Si", "Si", "Si", "Si", "Si", "Si", "Si", "Si", "Si", "Si", "Si", "Si", "Si", "Si", "Si", "Si", "Si", "Si", "Si", "Si", "Si", "Si", "Si", "Si", "Si", "Si", "Si", "Si", "Si", "Si", "Si", "Si", "Si", "Si", "Si", "Si", "Si", "Si", "Si", "Si", "Si", "Si", "Si", "Si", "Si"],
  "fractional_positions": [[0.000, 0.000, 0.000], [0.500, 0.500, 0.500], [0.250, 0.000, 0.500], [0.750, 0.000, 0.500], [0.000, 0.500, 0.250], [0.000, 0.500, 0.750], [0.500, 0.250, 0.000], [0.500, 0.750, 0.000], [0.683, 0.683, 0.683], [0.683, 0.317, 0.317], [0.317, 0.683, 0.317], [0.317, 0.317, 0.683], [0.817, 0.817, 0.817], [0.817, 0.183, 0.183], [0.183, 0.817, 0.183], [0.183, 0.183, 0.817], [0.317, 0.317, 0.317], [0.317, 0.683, 0.683], [0.683, 0.317, 0.683], [0.683, 0.683, 0.317], [0.183, 0.183, 0.183], [0.183, 0.817, 0.817], [0.817, 0.183, 0.817], [0.817, 0.817, 0.183], [0.000, 0.692, 0.883], [0.000, 0.308, 0.117], [0.000, 0.692, 0.117], [0.000, 0.308, 0.883], [0.692, 0.883, 0.000], [0.692, 0.117, 0.000], [0.308, 0.883, 0.000], [0.308, 0.117, 0.000], [0.883, 0.000, 0.692], [0.883, 0.000, 0.308], [0.117, 0.000, 0.308], [0.117, 0.000, 0.692], [0.808, 0.500, 0.617], [0.808, 0.500, 0.383], [0.192, 0.500, 0.383], [0.192, 0.500, 0.617], [0.500, 0.617, 0.808], [0.500, 0.383, 0.192], [0.500, 0.617, 0.192], [0.500, 0.383, 0.808], [0.617, 0.808, 0.500], [0.617, 0.192, 0.500], [0.383, 0.808, 0.500], [0.383, 0.192, 0.500]],
  "sg": "Pm-3n, No. 223",
  "dos_at_fermi_per_ev_cell": 6.4,
  "final_energy_ev_per_atom": -5.4351,
  "density_g_cm3": 2.2
}



# 8
{
  "formula": "Mn4Si5",
  "functional": "PBE",
  "state": "relaxed",
  "lattice": [[6.987, 0.000, 0.000], [-3.494, 6.051, 0.000], [0.000, 0.000, 4.974]],
  "species": ["Si", "Si", "Si", "Si", "Si", "Si", "Si", "Si", "Si", "Si", "Mn", "Mn", "Mn", "Mn", "Mn", "Mn", "Mn", "Mn"],
  "fractional_positions": [[0.000, 0.712, 0.250], [0.288, 0.288, 0.250], [0.712, 0.000, 0.250], [0.000, 0.288, 0.750], [0.712, 0.712, 0.750], [0.288, 0.000, 0.750], [0.667, 0.333, 0.000], [0.333, 0.667, 0.500], [0.333, 0.667, 0.000], [0.667, 0.333, 0.500], [0.000, 0.000, 0.000], [0.000, 0.000, 0.500], [0.000, 0.383, 0.250], [0.617, 0.617, 0.250], [0.383, 0.000, 0.250], [0.000, 0.617, 0.750], [0.383, 0.383, 0.750], [0.617, 0.000, 0.750]],
  "sg": "P6_3/mcm, No. 193",
  "dos_at_fermi_per_ev_cell": 14.0,
  "final_energy_ev_per_atom": -7.1740,
  "density_g_cm3": 5.7,
  "polymorph_energy_mev_per_atom": 0
}



# 9
{
  "formula": "MnSi3",
  "functional": "PBE",
  "state": "relaxed",
  "lattice": [[4.346, 0.000, 0.000], [0.000, 4.346, 0.000], [0.000, 0.000, 4.346]],
  "species": ["Mn", "Si", "Si", "Si"],
  "fractional_positions": [[0.000, 0.000, 0.000], [0.500, 0.000, 0.000], [0.000, 0.500, 0.000], [0.000, 0.000, 0.500]],
  "sg": "Pm-3m, No. 221",
  "dos_at_fermi_per_ev_cell": 3.7,
  "final_energy_ev_per_atom": -6.0380,
  "density_g_cm3": 2.8
}



# 10
{
  "formula": "Mn8Si",
  "functional": "PBE",
  "state": "relaxed",
  "lattice": [[-1.748, 4.668, -2.465], [2.482, -4.880, -0.973], [-5.072, -2.114, 0.851]],
  "species": ["Mn", "Mn", "Mn", "Mn", "Mn", "Mn", "Mn", "Mn", "Si"],
  "fractional_positions": [[0.328, 0.672, 0.000], [0.672, 0.328, 0.000], [0.000, 0.340, 0.340], [0.672, 0.672, 0.343], [0.340, 0.000, 0.340], [0.328, 0.328, 0.657], [0.000, 0.660, 0.660], [0.660, 0.000, 0.660], [0.000, 0.000, 0.000]],
  "sg": "I4/mmm, No. 139",
  "dos_at_fermi_per_ev_cell": 12.0,
  "final_energy_ev_per_atom": -8.8022,
  "density_g_cm3": 7.9
}



# 11
{
  "formula": "MnSi3",
  "functional": "PBE",
  "state": "relaxed",
  "lattice": [[-0.105, -2.434, -1.217], [2.039, -0.875, 1.578], [-4.574, -2.159, 4.712]],
  "species": ["Mn", "Si", "Si", "Si"],
  "fractional_positions": [[0.000, 0.000, 0.000], [0.500, 0.500, 0.790], [0.000, 0.000, 0.500], [0.500, 0.500, 0.210]],
  "sg": "P4/mmm, No. 123",
  "dos_at_fermi_per_ev_cell": 2.6,
  "final_energy_ev_per_atom": -6.2721,
  "density_g_cm3": 4.5
}



# 12
{
  "formula": "Mn4Si5",
  "functional": "PBE",
  "state": "relaxed",
  "lattice": [[-3.728, 3.728, 1.898], [3.728, -3.728, 1.898], [3.728, 3.728, -1.898]],
  "species": ["Mn", "Mn", "Mn", "Mn", "Si", "Si", "Si", "Si", "Si"],
  "fractional_positions": [[0.314, 0.000, 0.314], [0.686, 0.000, 0.686], [0.000, 0.686, 0.686], [0.000, 0.314, 0.314], [0.000, 0.000, 0.000], [0.327, 0.673, 0.000], [0.673, 0.327, 0.000], [0.673, 0.673, 0.345], [0.327, 0.327, 0.655]],
  "sg": "I4/mmm, No. 139",
  "dos_at_fermi_per_ev_cell": 5.0,
  "final_energy_ev_per_atom": -7.1174,
  "density_g_cm3": 5.7,
  "polymorph_energy_mev_per_atom": 57
}



# 13
{
  "formula": "Mn3Si2",
  "functional": "PBE",
  "state": "relaxed",
  "lattice": [[0.000, 4.113, 6.228], [2.233, 0.000, 6.228], [2.233, 4.113, 0.000]],
  "species": ["Mn", "Mn", "Mn", "Mn", "Mn", "Mn", "Si", "Si", "Si", "Si"],
  "fractional_positions": [[0.705, 0.506, 0.294], [0.495, 0.294, 0.506], [0.744, 0.545, 0.755], [0.956, 0.755, 0.545], [0.101, 0.899, 0.899], [0.351, 0.149, 0.149], [0.152, 0.953, 0.347], [0.547, 0.347, 0.953], [0.297, 0.098, 0.703], [0.903, 0.703, 0.098]],
  "sg": "Fdd2, No. 43",
  "dos_at_fermi_per_ev_cell": 9.4,
  "final_energy_ev_per_atom": -7.8969,
  "density_g_cm3": 6.4
}



# 14
{
  "formula": "MnSi3",
  "functional": "PBE",
  "state": "relaxed",
  "lattice": [[4.632, 0.000, -0.002], [0.743, 4.572, 0.002], [-1.606, -3.558, 2.494]],
  "species": ["Mn", "Si", "Si", "Si"],
  "fractional_positions": [[0.905, 0.000, 0.905], [0.565, 0.500, 0.065], [0.996, 0.315, 0.682], [0.367, 0.685, 0.682]],
  "sg": "Imm2, No. 44",
  "dos_at_fermi_per_ev_cell": 1.2,
  "final_energy_ev_per_atom": -6.4585,
  "density_g_cm3": 4.4
}



# 15
{
  "formula": "MnSi3",
  "functional": "PBE",
  "state": "relaxed",
  "lattice": [[-4.037, -2.246, 0.599], [2.767, 0.194, 3.743], [-0.227, 3.901, -2.536]],
  "species": ["Mn", "Si", "Si", "Si"],
  "fractional_positions": [[0.000, 0.000, 0.000], [0.500, 0.000, 0.500], [0.500, 0.500, 0.000], [0.000, 0.500, 0.500]],
  "sg": "R-3m, No. 166",
  "dos_at_fermi_per_ev_cell": 2.4,
  "final_energy_ev_per_atom": -6.0538,
  "density_g_cm3": 4.3
}



# 16
{
  "formula": "Mn5Si3",
  "functional": "PBE",
  "state": "relaxed",
  "lattice": [[5.033, -0.004, 0.000], [-0.538, 5.004, 0.000], [0.000, 0.000, 3.703]],
  "species": ["Mn", "Mn", "Mn", "Mn", "Mn", "Si", "Si", "Si"],
  "fractional_positions": [[0.000, 0.000, 0.000], [0.000, 0.500, 0.000], [0.500, 0.000, 0.000], [0.283, 0.283, 0.500], [0.717, 0.717, 0.500], [0.500, 0.500, 0.000], [0.784, 0.216, 0.500], [0.216, 0.784, 0.500]],
  "sg": "Cmmm, No. 65",
  "dos_at_fermi_per_ev_cell": 3.0,
  "final_energy_ev_per_atom": -8.0822,
  "density_g_cm3": 6.4,
  "polymorph_energy_mev_per_atom": 24
}



# 17
{
  "formula": "MnSi3",
  "functional": "PBE",
  "state": "relaxed",
  "lattice": [[2.933, 2.769, -2.810], [-4.407, 2.155, -0.314], [1.016, 2.606, 3.628]],
  "species": ["Mn", "Mn", "Si", "Si", "Si", "Si", "Si", "Si"],
  "fractional_positions": [[0.595, 0.405, 0.250], [0.405, 0.595, 0.750], [0.961, 0.039, 0.750], [0.039, 0.961, 0.250], [0.880, 0.518, 0.750], [0.120, 0.482, 0.250], [0.482, 0.120, 0.750], [0.518, 0.880, 0.250]],
  "sg": "Cmcm, No. 63",
  "dos_at_fermi_per_ev_cell": 3.2,
  "final_energy_ev_per_atom": -6.2589,
  "density_g_cm3": 4.3
}



# 18
{
  "formula": "MnSi3",
  "functional": "PBE",
  "state": "relaxed",
  "lattice": [[4.421, -0.004, 0.000], [1.360, 4.207, 0.000], [-2.890, -2.101, 2.603]],
  "species": ["Mn", "Si", "Si", "Si"],
  "fractional_positions": [[0.000, 0.000, 0.000], [0.250, 0.750, 0.500], [0.500, 0.500, 0.000], [0.750, 0.250, 0.500]],
  "sg": "I4/mmm, No. 139",
  "dos_at_fermi_per_ev_cell": 3.2,
  "final_energy_ev_per_atom": -6.1226,
  "density_g_cm3": 4.8
}



# 19
{
  "formula": "SmMn3Si3",
  "functional": "PBE",
  "state": "relaxed",
  "lattice": [[-4.130, 4.791, 0.343], [-4.561, -4.054, 1.699], [1.505, 0.861, 6.092]],
  "species": ["Si", "Si", "Si", "Si", "Si", "Si", "Mn", "Mn", "Mn", "Mn", "Mn", "Mn", "Sm", "Sm"],
  "fractional_positions": [[0.000, 0.250, 0.500], [0.000, 0.750, 0.500], [0.500, 0.000, 0.750], [0.750, 0.500, 0.000], [0.500, 0.000, 0.250], [0.250, 0.500, 0.000], [0.250, 0.000, 0.500], [0.000, 0.500, 0.250], [0.500, 0.750, 0.000], [0.750, 0.000, 0.500], [0.000, 0.500, 0.750], [0.500, 0.250, 0.000], [0.500, 0.500, 0.500], [0.000, 0.000, 0.000]],
  "sg": "Pm-3n, No. 223",
  "dos_at_fermi_per_ev_cell": 9.7,
  "final_energy_ev_per_atom": -6.7705,
  "density_g_cm3": 5.2
}



# 20
{
  "formula": "SmMnSi",
  "functional": "PBE",
  "state": "relaxed",
  "lattice": [[3.906, 0.000, -0.594], [0.000, 3.956, 0.000], [-2.788, 0.000, 7.925]],
  "species": ["Si", "Si", "Mn", "Mn", "Sm", "Sm"],
  "fractional_positions": [[0.564, 0.248, 0.312], [0.443, 0.748, 0.691], [0.254, 0.248, 0.502], [0.753, 0.748, 0.501], [0.080, 0.248, 0.828], [0.927, 0.748, 0.175]],
  "sg": "P4/nmm, No. 129",
  "dos_at_fermi_per_ev_cell": 4.3,
  "final_energy_ev_per_atom": -6.9618,
  "density_g_cm3": 6.7
}



# 21
{
  "formula": "SmMnSi3",
  "functional": "PBE",
  "state": "relaxed",
  "lattice": [[-1.526, 2.409, -3.006], [-1.053, -3.371, -2.167], [-3.091, 0.441, 4.777]],
  "species": ["Sm", "Mn", "Si", "Si", "Si"],
  "fractional_positions": [[0.997, 0.997, 0.994], [0.657, 0.657, 0.314], [0.254, 0.754, 0.508], [0.754, 0.254, 0.508], [0.428, 0.428, 0.857]],
  "sg": "I4mm, No. 107",
  "dos_at_fermi_per_ev_cell": 3.1,
  "final_energy_ev_per_atom": -6.5003,
  "density_g_cm3": 5.7
}



# 22
{
  "formula": "Sm2MnSi2",
  "functional": "PBE",
  "state": "relaxed",
  "lattice": [[-0.688, 0.816, 2.755], [2.443, -1.326, 1.002], [7.124, 11.824, -1.724]],
  "species": ["Sm", "Sm", "Mn", "Si", "Si"],
  "fractional_positions": [[0.500, 0.500, 0.624], [0.500, 0.500, 0.376], [0.500, 0.500, 0.000], [0.500, 0.500, 0.171], [0.500, 0.500, 0.829]],
  "sg": "P4/mmm, No. 123",
  "dos_at_fermi_per_ev_cell": 5.8,
  "final_energy_ev_per_atom": -5.0641,
  "density_g_cm3": 5.6
}



# 23
{
  "formula": "SmMn2Si3",
  "functional": "PBE",
  "state": "relaxed",
  "lattice": [[-4.459, 2.488, 0.488], [-2.683, -4.106, -3.585], [-0.614, -2.204, 5.628]],
  "species": ["Sm", "Sm", "Mn", "Mn", "Mn", "Mn", "Si", "Si", "Si", "Si", "Si", "Si"],
  "fractional_positions": [[0.250, 0.336, 0.336], [0.750, 0.664, 0.664], [0.500, 0.800, 0.200], [0.000, 0.800, 0.200], [0.000, 0.200, 0.800], [0.500, 0.200, 0.800], [0.750, 0.470, 0.093], [0.750, 0.093, 0.470], [0.250, 0.530, 0.907], [0.750, 0.067, 0.067], [0.250, 0.933, 0.933], [0.250, 0.907, 0.530]],
  "sg": "Cmcm, No. 63",
  "dos_at_fermi_per_ev_cell": 7.1,
  "final_energy_ev_per_atom": -7.0814,
  "density_g_cm3": 6.3
}